DFT (PBE) results for crystalline MgBeAl at its relaxed geometry.

Computed properties:
ΔE to the lowest computed polymorph = 0.19 eV per formula unit
energy of formation from the pure elements = 0.132 eV per atom
total moment = 0.000 μB/cell

The structure in CIF format:
```
data_MgBeAl
_chemical_formula_sum 'Mg2 Be2 Al2'
_cell_length_a 3.8033
_cell_length_b 4.8281
_cell_length_c 5.6141
_cell_angle_alpha 96.06
_cell_angle_beta 109.70
_cell_angle_gamma 90.04
_space_group_name_H-M_alt 'P 1'
_space_group_IT_number 1
_space_group_name_Hall 'P 1'
loop_
_atom_site_label
_atom_site_fract_x
_atom_site_fract_y
_atom_site_fract_z
Mg1 0.0000 0.0000 0.0000
Mg2 0.4275 0.4778 0.8551
Be1 0.1225 0.5407 0.2444
Be2 0.6522 0.7697 0.3035
Al1 0.2800 0.9451 0.5591
Al2 0.7012 0.2923 0.4011
```